Version w
DFT (PBE-GGA) results for an optimized crystal structure of TcIrAu.

The symmetry is No. 107.

a = 6.2935 Å, b = 6.2935 Å, c = 6.2935 Å
α = 154.21°, β = 154.21°, γ = 36.80°
Sites, in units of the cell vectors:
Tc 0.0000 0.0000 0.0000
Ir 0.6414 0.6414 0.0000
Au 0.3243 0.3243 0.0000

---

Version x
DFT (PBE-GGA) results for an optimized crystal structure of TcIrAu.

The symmetry is No. 216.

a = 4.2763 Å, b = 4.2763 Å, c = 4.2763 Å
α = 60.00°, β = 60.00°, γ = 60.00°
Sites, in units of the cell vectors:
Tc 0.0000 0.0000 0.0000
Ir 0.2500 0.2500 0.2500
Au 0.5000 0.5000 0.5000

---

Energy comparison, zero being the most stable, in kJ/mol of atoms: version w 0.0; version x 52.7.

---

Version w
DFT (PBE-GGA) results for an optimized crystal structure of TcIrAu.

The symmetry is No. 44.

a = 4.9123 Å, b = 4.9123 Å, c = 4.9123 Å
α = 146.67°, β = 133.69°, γ = 58.25°
Sites, in units of the cell vectors:
Tc 0.0000 0.0000 0.0000
Ir 0.6400 0.6400 0.0000
Au 0.3205 0.3205 0.0000

---

Version x
DFT (PBE-GGA) results for an optimized crystal structure of TcIrAu.

The symmetry is No. 42.

a = 7.6668 Å, b = 7.4247 Å, c = 2.7489 Å
α = 84.52°, β = 74.57°, γ = 20.91°
Sites, in units of the cell vectors:
Tc 0.0000 0.0000 0.0000
Ir 0.6496 0.6496 0.3504
Au 0.3260 0.3260 0.6740

---

Version y
DFT (PBE-GGA) results for an optimized crystal structure of TcIrAu.

The symmetry is No. 156.

a = 2.7828 Å, b = 2.7828 Å, c = 7.0045 Å
α = 90.00°, β = 90.00°, γ = 120.00°
Sites, in units of the cell vectors:
Tc 0.0000 0.0000 0.0000
Ir 0.3333 0.6667 0.7026
Au 0.6667 0.3333 0.3467

---

Energy comparison, zero being the most stable, in kJ/mol of atoms: version w 5.6; version x 23.5; version y 0.0.

---

Version w
DFT (PBE-GGA) results for an optimized crystal structure of TeIrAu.

The symmetry is No. 156.

a = 3.7715 Å, b = 3.7715 Å, c = 5.5181 Å
α = 90.00°, β = 90.00°, γ = 120.00°
Sites, in units of the cell vectors:
Te 0.0000 0.0000 0.0000
Ir 0.6667 0.3333 0.7493
Au 0.3333 0.6667 0.4544

---

Version x
DFT (PBE-GGA) results for an optimized crystal structure of TeIrAu.

The symmetry is No. 42.

a = 8.0166 Å, b = 7.7197 Å, c = 3.0308 Å
α = 84.47°, β = 73.43°, γ = 22.10°
Sites, in units of the cell vectors:
Te 0.0000 0.0000 0.0000
Ir 0.6462 0.6462 0.3538
Au 0.3022 0.3022 0.6978

---

Energy comparison, zero being the most stable, in kJ/mol of atoms: version w 0.0; version x 36.0.

---

Version w
DFT (PBE-GGA) results for an optimized crystal structure of Th4IrAu.

The symmetry is No. 15.

a = 8.6365 Å, b = 8.6365 Å, c = 7.0489 Å
α = 106.80°, β = 106.80°, γ = 120.50°
Sites, in units of the cell vectors:
Th 0.0310 0.5925 0.8076
Th 0.1904 0.2910 0.7371
Th 0.2910 0.1904 0.2371
Th 0.4075 0.9690 0.6924
Th 0.5925 0.0310 0.3076
Th 0.7090 0.8096 0.7629
Th 0.8096 0.7090 0.2629
Th 0.9690 0.4075 0.1924
Ir 0.0778 0.9222 0.7500
Ir 0.9222 0.0778 0.2500
Au 0.3958 0.6042 0.2500
Au 0.6042 0.3958 0.7500

---

Version x
DFT (PBE-GGA) results for an optimized crystal structure of Th4IrAu.

The symmetry is No. 124.

a = 7.3585 Å, b = 7.3585 Å, c = 6.0151 Å
α = 90.00°, β = 90.00°, γ = 90.00°
Sites, in units of the cell vectors:
Th 0.1531 0.3285 0.0000
Th 0.1531 0.6715 0.5000
Th 0.3285 0.1531 0.5000
Th 0.3285 0.8469 0.0000
Th 0.6715 0.1531 0.0000
Th 0.6715 0.8469 0.5000
Th 0.8469 0.3285 0.5000
Th 0.8469 0.6715 0.0000
Ir 0.0000 0.0000 0.2500
Ir 0.0000 0.0000 0.7500
Au 0.5000 0.5000 0.2500
Au 0.5000 0.5000 0.7500

---

Energy comparison, zero being the most stable, in kJ/mol of atoms: version w 16.6; version x 0.0.

---

Version w
DFT (PBE-GGA) results for an optimized crystal structure of Th3IrAu.

The symmetry is No. 62.

a = 8.6115 Å, b = 4.3262 Å, c = 14.9937 Å
α = 90.00°, β = 90.00°, γ = 90.00°
Sites, in units of the cell vectors:
Th 0.9997 0.2500 0.1056
Th 0.0003 0.7500 0.8944
Th 0.1427 0.2500 0.5479
Th 0.1780 0.7500 0.2808
Th 0.3220 0.2500 0.7808
Th 0.3573 0.7500 0.0479
Th 0.4997 0.2500 0.3944
Th 0.5003 0.7500 0.6056
Th 0.6427 0.2500 0.9521
Th 0.6780 0.7500 0.2192
Th 0.8220 0.2500 0.7192
Th 0.8573 0.7500 0.4521
Ir 0.2085 0.2500 0.9529
Ir 0.2915 0.7500 0.4529
Ir 0.7085 0.2500 0.5471
Ir 0.7915 0.7500 0.0471
Au 0.1018 0.7500 0.6969
Au 0.3982 0.2500 0.1969
Au 0.6018 0.7500 0.8031
Au 0.8982 0.2500 0.3031

---

Version x
DFT (PBE-GGA) results for an optimized crystal structure of Th3IrAu.

The symmetry is No. 12.

a = 6.6497 Å, b = 6.6497 Å, c = 9.2422 Å
α = 113.25°, β = 113.25°, γ = 48.06°
Sites, in units of the cell vectors:
Th 0.1205 0.1205 0.4202
Th 0.3586 0.3586 0.8430
Th 0.3599 0.3599 0.2005
Th 0.6401 0.6401 0.7995
Th 0.6414 0.6414 0.1570
Th 0.8795 0.8795 0.5798
Ir 0.3914 0.3914 0.5392
Ir 0.6086 0.6086 0.4608
Au 0.0921 0.0921 0.9390
Au 0.9079 0.9079 0.0610

---

Energy comparison, zero being the most stable, in kJ/mol of atoms: version w 0.0; version x 6.9.

---

Version w
DFT (PBE-GGA) results for an optimized crystal structure of YThIrAu.

The symmetry is No. 216.

a = 5.0863 Å, b = 5.0863 Å, c = 5.0863 Å
α = 60.00°, β = 60.00°, γ = 60.00°
Sites, in units of the cell vectors:
Y 0.0000 0.0000 0.0000
Th 0.5000 0.5000 0.5000
Ir 0.2500 0.2500 0.2500
Au 0.7500 0.7500 0.7500

---

Version x
DFT (PBE-GGA) results for an optimized crystal structure of YThIrAu.

The symmetry is No. 38.

a = 4.1787 Å, b = 6.1905 Å, c = 6.1905 Å
α = 37.22°, β = 90.00°, γ = 90.00°
Sites, in units of the cell vectors:
Y 0.0000 0.0000 0.0000
Th 0.5000 0.7179 0.7179
Ir 0.0000 0.2487 0.2487
Au 0.5000 0.4354 0.4354

---

Energy comparison, zero being the most stable, in kJ/mol of atoms: version w 18.8; version x 0.0.

---

Version w
DFT (PBE-GGA) results for an optimized crystal structure of TiIrAu3.

The symmetry is No. 221.

a = 4.9911 Å, b = 4.9911 Å, c = 4.9911 Å
α = 90.00°, β = 90.00°, γ = 90.00°
Sites, in units of the cell vectors:
Ti 0.0000 0.0000 0.0000
Ir 0.5000 0.5000 0.5000
Au 0.0000 0.5000 0.5000
Au 0.5000 0.0000 0.5000
Au 0.5000 0.5000 0.0000

---

Version x
DFT (PBE-GGA) results for an optimized crystal structure of TiIrAu3.

The symmetry is No. 221.

a = 4.8038 Å, b = 4.8038 Å, c = 4.8038 Å
α = 90.00°, β = 90.00°, γ = 90.00°
Sites, in units of the cell vectors:
Ti 0.0000 0.0000 0.0000
Ir 0.5000 0.5000 0.5000
Au 0.0000 0.0000 0.5000
Au 0.0000 0.5000 0.0000
Au 0.5000 0.0000 0.0000

---

Energy comparison, zero being the most stable, in kJ/mol of atoms: version w 0.0; version x 25.4.

---

Version w
DFT (PBE-GGA) results for an optimized crystal structure of Ti2Ir2Au.

The symmetry is No. 127.

a = 7.5496 Å, b = 7.5496 Å, c = 2.8765 Å
α = 90.00°, β = 90.00°, γ = 90.00°
Sites, in units of the cell vectors:
Ti 0.1500 0.3500 0.0000
Ti 0.3500 0.8500 0.0000
Ti 0.6500 0.1500 0.0000
Ti 0.8500 0.6500 0.0000
Ir 0.1415 0.6415 0.5000
Ir 0.3585 0.1415 0.5000
Ir 0.6415 0.8585 0.5000
Ir 0.8585 0.3585 0.5000
Au 0.0000 0.0000 0.0000
Au 0.5000 0.5000 0.0000

---

Version x
DFT (PBE-GGA) results for an optimized crystal structure of Ti2Ir2Au.

The symmetry is No. 127.

a = 7.4170 Å, b = 7.4170 Å, c = 2.9430 Å
α = 90.00°, β = 90.00°, γ = 90.00°
Sites, in units of the cell vectors:
Ti 0.1598 0.3402 0.0000
Ti 0.3402 0.8402 0.0000
Ti 0.6598 0.1598 0.0000
Ti 0.8402 0.6598 0.0000
Ir 0.1366 0.6366 0.5000
Ir 0.3634 0.1366 0.5000
Ir 0.6366 0.8634 0.5000
Ir 0.8634 0.3634 0.5000
Au 0.0000 0.0000 0.5000
Au 0.5000 0.5000 0.5000

---

Energy comparison, zero being the most stable, in kJ/mol of atoms: version w 13.4; version x 0.0.